Entry 1:
Here is an optimized crystal structure of NaDyPb6 from the Open Quantum Materials Database. Energies are from PBE.

abc: 4.862 4.862 10.011
angles: 90.00 90.00 90.00
Sites, in units of the cell vectors:
Pb (0.000, 0.500, 0.750)
Pb (0.500, 0.000, 0.750)
Pb (0.000, 0.500, 0.250)
Pb (0.500, 0.500, 0.500)
Pb (0.500, 0.000, 0.250)
Pb (0.500, 0.500, 0.000)
Na (0.000, 0.000, 0.000)
Dy (0.000, 0.000, 0.500)

---

Entry 2:
Here is an optimized crystal structure of Na3TbDy2Pb3 from the Open Quantum Materials Database. Energies are from PBE.

abc: 5.213 5.213 10.456
angles: 90.00 90.00 120.00
Sites, in units of the cell vectors:
Na (0.333, 0.667, 0.500)
Na (0.667, 0.333, 0.183)
Na (0.667, 0.333, 0.817)
Pb (0.333, 0.667, 0.840)
Pb (0.333, 0.667, 0.160)
Pb (0.667, 0.333, 0.500)
Tb (0.000, 0.000, 0.000)
Dy (0.000, 0.000, 0.666)
Dy (0.000, 0.000, 0.334)

---

Entry 3:
Here is an optimized crystal structure of NaDyPd from the Open Quantum Materials Database. Energies are from PBE.

abc: 4.779 4.779 4.779
angles: 60.00 60.00 60.00
Sites, in units of the cell vectors:
Pd (0.000, 0.000, 0.000)
Na (0.750, 0.750, 0.750)
Dy (0.250, 0.250, 0.250)

Summary:
The distance to the lowest polymorph of the same formula comes out at 0.0 meV/atom.

---

Entry 4:
Here is an optimized crystal structure of NaDyPd from the Open Quantum Materials Database. Energies are from PBE.

abc: 4.789 4.789 4.789
angles: 60.00 60.00 60.00
Sites, in units of the cell vectors:
Dy (0.000, 0.000, 0.000)
Na (0.250, 0.250, 0.250)
Pd (0.750, 0.750, 0.750)

Summary:
The distance to the lowest polymorph of the same formula comes out at 384.1 meV/atom.

---

Entry 5:
Here is an optimized crystal structure of NaDyTe3Pd from the Open Quantum Materials Database. Energies are from PBE.

abc: 8.327 8.327 10.148
angles: 90.00 90.00 150.19
Sites, in units of the cell vectors:
Te (0.372, 0.628, 0.586)
Te (0.628, 0.372, 0.414)
Te (0.372, 0.628, 0.914)
Te (0.628, 0.372, 0.086)
Te (0.108, 0.892, 0.750)
Te (0.892, 0.108, 0.250)
Na (0.242, 0.758, 0.250)
Na (0.758, 0.242, 0.750)
Dy (0.000, 0.000, 0.000)
Dy (0.000, 0.000, 0.500)
Pd (0.499, 0.501, 0.250)
Pd (0.501, 0.499, 0.750)

---

Entry 6:
Here is an optimized crystal structure of NaDyTe3Pd from the Open Quantum Materials Database. Energies are from PBE.

abc: 10.043 4.323 16.247
angles: 90.00 90.00 90.00
Sites, in units of the cell vectors:
Pd (0.260, 0.750, 0.746)
Pd (0.240, 0.250, 0.246)
Pd (0.760, 0.750, 0.754)
Pd (0.740, 0.250, 0.254)
Te (0.900, 0.250, 0.123)
Te (0.074, 0.250, 0.375)
Te (0.400, 0.250, 0.377)
Te (0.100, 0.750, 0.877)
Te (0.426, 0.750, 0.875)
Te (0.926, 0.750, 0.625)
Te (0.262, 0.250, 0.641)
Te (0.762, 0.250, 0.859)
Te (0.738, 0.750, 0.359)
Te (0.238, 0.750, 0.141)
Te (0.600, 0.750, 0.623)
Te (0.574, 0.250, 0.125)
Na (0.766, 0.250, 0.509)
Na (0.234, 0.750, 0.491)
Na (0.266, 0.250, 0.991)
Na (0.734, 0.750, 0.009)
Dy (0.487, 0.750, 0.252)
Dy (0.513, 0.250, 0.748)
Dy (0.987, 0.750, 0.248)
Dy (0.013, 0.250, 0.752)

---

Number 1: final energy -29.84 eV/cell. Number 2: final energy -30.82 eV/cell. Number 3: final energy -11.87 eV/cell. Number 4: final energy -10.72 eV/cell. Number 5: final energy -51.88 eV/cell. Number 6: final energy -103.78 eV/cell.